Record 1
DFT (GGA-PBE) results for a geometry-optimized NbCoSnAu structure.

Cell and atoms, written as CIF:
```
data_NbCoSnAu
_space_group_name_H-M_alt 'F -4 3 m'
_space_group_IT_number 216
_space_group_name_Hall 'F -4 2 3'
_cell_length_a 6.483
_cell_length_b 6.483
_cell_length_c 6.483
_cell_angle_alpha 90.00
_cell_angle_beta 90.00
_cell_angle_gamma 90.00
loop_
_atom_site_label
_atom_site_type_symbol
_atom_site_fract_x
_atom_site_fract_y
_atom_site_fract_z
Nb1 Nb 0.000 0.000 0.000
Co1 Co 0.250 0.250 0.750
Sn1 Sn 0.000 0.000 0.500
Au1 Au 0.250 0.250 0.250
```

Values from the calculation:
The total energy comes out at -5.968 eV per atom. For the energy above the lowest structure with this stoichiometry, the calculation gives 0 kJ/mol of formula units.

***

Record 2
DFT (GGA-PBE) results for a geometry-optimized NbCoSnAu structure.

Cell and atoms, written as CIF:
```
data_NbCoSnAu
_space_group_name_H-M_alt 'F -4 3 m'
_space_group_IT_number 216
_space_group_name_Hall 'F -4 2 3'
_cell_length_a 6.463
_cell_length_b 6.463
_cell_length_c 6.463
_cell_angle_alpha 90.00
_cell_angle_beta 90.00
_cell_angle_gamma 90.00
loop_
_atom_site_label
_atom_site_type_symbol
_atom_site_fract_x
_atom_site_fract_y
_atom_site_fract_z
Nb1 Nb 0.000 0.000 0.000
Co1 Co 0.000 0.000 0.500
Sn1 Sn 0.250 0.250 0.250
Au1 Au 0.250 0.250 0.750
```

Values from the calculation:
The total energy comes out at -5.959 eV per atom. For the energy above the lowest structure with this stoichiometry, the calculation gives 3 kJ/mol of formula units.

***

Record 3
DFT (GGA-PBE) results for a geometry-optimized NbTlCoAu structure.

Cell and atoms, written as CIF:
```
data_NbTlCoAu
_space_group_name_H-M_alt 'F -4 3 m'
_space_group_IT_number 216
_space_group_name_Hall 'F -4 2 3'
_cell_length_a 6.526
_cell_length_b 6.526
_cell_length_c 6.526
_cell_angle_alpha 90.00
_cell_angle_beta 90.00
_cell_angle_gamma 90.00
loop_
_atom_site_label
_atom_site_type_symbol
_atom_site_fract_x
_atom_site_fract_y
_atom_site_fract_z
Nb1 Nb 0.000 0.000 0.000
Tl1 Tl 0.250 0.250 0.250
Co1 Co 0.000 0.000 0.500
Au1 Au 0.250 0.250 0.750
```

Values from the calculation:
The total energy comes out at -5.326 eV per atom. For the energy above the lowest structure with this stoichiometry, the calculation gives 9 kJ/mol of formula units.

***

Record 4
DFT (GGA-PBE) results for a geometry-optimized NbTlCoAu structure.

Cell and atoms, written as CIF:
```
data_NbTlCoAu
_space_group_name_H-M_alt 'F -4 3 m'
_space_group_IT_number 216
_space_group_name_Hall 'F -4 2 3'
_cell_length_a 6.533
_cell_length_b 6.533
_cell_length_c 6.533
_cell_angle_alpha 90.00
_cell_angle_beta 90.00
_cell_angle_gamma 90.00
loop_
_atom_site_label
_atom_site_type_symbol
_atom_site_fract_x
_atom_site_fract_y
_atom_site_fract_z
Nb1 Nb 0.000 0.000 0.000
Tl1 Tl 0.000 0.000 0.500
Co1 Co 0.250 0.250 0.250
Au1 Au 0.250 0.250 0.750
```

Values from the calculation:
The total energy comes out at -5.348 eV per atom. For the energy above the lowest structure with this stoichiometry, the calculation gives 0 kJ/mol of formula units.

***

Record 5
DFT (GGA-PBE) results for a geometry-optimized CoNiSnAu structure.

Cell and atoms, written as CIF:
```
data_CoNiSnAu
_space_group_name_H-M_alt 'F -4 3 m'
_space_group_IT_number 216
_space_group_name_Hall 'F -4 2 3'
_cell_length_a 6.203
_cell_length_b 6.203
_cell_length_c 6.203
_cell_angle_alpha 90.00
_cell_angle_beta 90.00
_cell_angle_gamma 90.00
loop_
_atom_site_label
_atom_site_type_symbol
_atom_site_fract_x
_atom_site_fract_y
_atom_site_fract_z
Co1 Co 0.000 0.000 0.000
Ni1 Ni 0.000 0.000 0.500
Sn1 Sn 0.250 0.250 0.750
Au1 Au 0.250 0.250 0.250
```

Values from the calculation:
The total energy comes out at -4.970 eV per atom. For the energy above the lowest structure with this stoichiometry, the calculation gives 0 kJ/mol of formula units.

***

Record 6
DFT (GGA-PBE) results for a geometry-optimized ZnCoNiAu structure.

Cell and atoms, written as CIF:
```
data_ZnCoNiAu
_space_group_name_H-M_alt 'F -4 3 m'
_space_group_IT_number 216
_space_group_name_Hall 'F -4 2 3'
_cell_length_a 5.993
_cell_length_b 5.993
_cell_length_c 5.993
_cell_angle_alpha 90.00
_cell_angle_beta 90.00
_cell_angle_gamma 90.00
loop_
_atom_site_label
_atom_site_type_symbol
_atom_site_fract_x
_atom_site_fract_y
_atom_site_fract_z
Zn1 Zn 0.000 0.000 0.000
Co1 Co 0.250 0.250 0.250
Ni1 Ni 0.000 0.000 0.500
Au1 Au 0.250 0.250 0.750
```

Values from the calculation:
The total energy comes out at -4.228 eV per atom. For the energy above the lowest structure with this stoichiometry, the calculation gives 1 kJ/mol of formula units.

***

Record 7
DFT (GGA-PBE) results for a geometry-optimized ZnCoNiAu structure.

Cell and atoms, written as CIF:
```
data_ZnCoNiAu
_space_group_name_H-M_alt 'F -4 3 m'
_space_group_IT_number 216
_space_group_name_Hall 'F -4 2 3'
_cell_length_a 5.990
_cell_length_b 5.990
_cell_length_c 5.990
_cell_angle_alpha 90.00
_cell_angle_beta 90.00
_cell_angle_gamma 90.00
loop_
_atom_site_label
_atom_site_type_symbol
_atom_site_fract_x
_atom_site_fract_y
_atom_site_fract_z
Zn1 Zn 0.000 0.000 0.000
Co1 Co 0.250 0.250 0.250
Ni1 Ni 0.250 0.250 0.750
Au1 Au 0.000 0.000 0.500
```

Values from the calculation:
The total energy comes out at -4.231 eV per atom. For the energy above the lowest structure with this stoichiometry, the calculation gives 0 kJ/mol of formula units.